VASP calculation (GGA+U) on a geometry-optimized FeCuF structure.

Its energy above the lowest structure with this stoichiometry is 0.56 eV per formula unit. As for the space group: P1 (1). The value obtained for the total magnetization is 3.620 μB/f.u.

a = 2.804 Å, b = 4.540 Å, c = 6.298 Å
α = 92.78°, β = 99.36°, γ = 91.97°
Atoms (fractional coordinates):
Fe: 0.000 0.000 0.000
Fe: 0.336 0.005 0.605
Cu: 0.443 0.540 0.803
Cu: 0.818 0.450 0.476
F: 0.117 0.822 0.309
F: 0.592 0.295 0.149